Computed, not measured: a relaxed PaSO4F2 crystal at the PBE-GGA level of DFT.

Cell lengths 5.2054, 5.2054, 5.2054 Å; angles 101.90, 101.90, 125.98 degrees
Last column: nearest neighbours and their distance in Å.
Fractional coordinates of all 8 atoms:
Pa: 0.0000 0.0000 0.0000  4 O 2.30, 2 F 2.36
S: 0.7500 0.2500 0.5000  4 O 1.54
O: 0.4627 0.2723 0.4297  1 S 1.54
O: 0.7277 0.1574 0.1904  1 S 1.54
O: 0.8426 0.0330 0.5703  1 S 1.54
O: 0.9670 0.5373 0.8096  1 S 1.54
F: 0.2500 0.7500 0.5000  2 S 2.36, 4 O 2.41
F: 0.5000 0.5000 0.0000  2 Pa 2.36

Values from the calculation:
**ΔE_f (raw)**: -1.945 eV per atom
**Total moment**: 1.01 μB per cell
**Fermi-level density of states**: 1.1 states/eV/f.u.

=====

Computed, not measured: a relaxed PaSeO4F crystal at the PBE-GGA level of DFT.

Cell lengths 5.8981, 5.8981, 7.7471 Å; angles 109.77, 109.77, 71.01 degrees
Last column: nearest neighbours and their distance in Å.
Fractional coordinates of all 14 atoms:
Pa: 0.2290 0.2290 0.0744  5 O 2.10-2.35, 1 F 2.26
Pa: 0.7710 0.7710 0.9256  5 O 2.10-2.35, 1 F 2.26
Se: 0.3176 0.3176 0.6493  2 O 1.68
Se: 0.6824 0.6824 0.3507  2 O 1.68
O: 0.0691 0.4765 0.8582  2 Pa 2.10-2.35, 1 Se 2.31
O: 0.3128 0.3128 0.4296  1 Se 1.68
O: 0.4765 0.0691 0.8582  2 Pa 2.10-2.35, 1 Se 2.31
O: 0.4938 0.4938 0.2120  1 Se 1.68
O: 0.5062 0.5062 0.7880  1 Se 1.68
O: 0.5235 0.9309 0.1418  2 Pa 2.10-2.35, 1 Se 2.31
O: 0.6872 0.6872 0.5704  1 Se 1.68
O: 0.9309 0.5235 0.1418  2 Pa 2.10-2.35, 1 Se 2.31
F: 0.0087 0.0087 0.1643  2 Pa 2.26-2.49, 1 F 2.48
F: 0.9913 0.9913 0.8357  2 Pa 2.26-2.49, 1 F 2.48

Values from the calculation:
**ΔE_f (raw)**: -2.267 eV per atom
**Total moment**: 0.00 μB per cell

=====

Computed, not measured: a relaxed PaSe2O6F2 crystal at the PBE-GGA level of DFT.

Cell lengths 5.7744, 5.7744, 6.9986 Å; angles 90.00, 90.00, 120.00 degrees
Last column: nearest neighbours and their distance in Å.
Fractional coordinates of all 11 atoms:
Pa: 0.0000 0.0000 0.0000  6 O 2.16
Se: 0.3333 0.6667 0.7102  3 O 1.75
Se: 0.6667 0.3333 0.2898  3 O 1.75
O: 0.1785 0.3570 0.8270  1 Se 1.75
O: 0.1785 0.8215 0.8270  1 Se 1.75
O: 0.3570 0.1785 0.1730  1 Se 1.75
O: 0.6430 0.8215 0.8270  1 Se 1.75
O: 0.8215 0.1785 0.1730  1 Se 1.75
O: 0.8215 0.6430 0.1730  1 Se 1.75
F: 0.3333 0.6667 0.4011  1 Se 2.16
F: 0.6667 0.3333 0.5989  1 Se 2.16

Values from the calculation:
**ΔE_f (raw)**: -1.652 eV per atom
**Total moment**: 1.04 μB per cell
**Fermi-level density of states**: 4.7 states/eV/f.u.

=====

Computed, not measured: a relaxed Pa2SeO8F crystal at the PBE-GGA level of DFT.

Cell lengths 4.0961, 4.7903, 7.2546 Å; angles 96.71, 98.26, 95.59 degrees
Last column: nearest neighbours and their distance in Å.
Fractional coordinates of all 12 atoms:
Pa: 0.2219 0.1144 0.2968  7 O 2.25-2.51, 1 F 2.31
Pa: 0.7781 0.8856 0.7032  7 O 2.25-2.51, 1 F 2.31
Se: 0.5000 0.5000 0.0000  6 O 1.81-1.83
O: 0.2129 0.1834 0.9834  1 Se 1.81
O: 0.2606 0.9964 0.5903  3 Pa 2.25-2.30, 3 O 2.34-2.51
O: 0.2832 0.6516 0.8080  1 Se 1.81
O: 0.2848 0.6660 0.1798  1 Se 1.83
O: 0.7152 0.3340 0.8202  1 Se 1.83
O: 0.7168 0.3484 0.1920  1 Se 1.81
O: 0.7394 0.0036 0.4097  3 Pa 2.25-2.30, 3 O 2.34-2.51
O: 0.7871 0.8166 0.0166  1 Se 1.81
F: 0.5000 0.5000 0.5000  2 Pa 2.31, 2 O 2.57

Values from the calculation:
**ΔE_f (raw)**: -2.155 eV per atom
**Total moment**: 1.04 μB per cell
**Fermi-level density of states**: 2.7 states/eV/f.u.

=====

Computed, not measured: a relaxed PaSe2O8F crystal at the PBE-GGA level of DFT.

Cell lengths 6.3229, 6.3229, 4.8175 Å; angles 90.00, 90.00, 120.00 degrees
Last column: nearest neighbours and their distance in Å.
Fractional coordinates of all 12 atoms:
Pa: 0.0000 0.0000 0.0000  6 O 2.24, 2 F 2.41
Se: 0.3333 0.6667 0.7029  4 O 1.62-1.68
Se: 0.6667 0.3333 0.2971  4 O 1.62-1.68
O: 0.1907 0.3814 0.8313  1 Se 1.68
O: 0.1907 0.8093 0.8313  1 Se 1.68
O: 0.3333 0.6667 0.3671  1 Se 1.62
O: 0.3814 0.1907 0.1687  1 Se 1.68
O: 0.6186 0.8093 0.8313  1 Se 1.68
O: 0.6667 0.3333 0.6329  1 Se 1.62
O: 0.8093 0.1907 0.1687  1 Se 1.68
O: 0.8093 0.6186 0.1687  1 Se 1.68
F: 0.0000 0.0000 0.5000  2 Pa 2.41, 6 O 2.63

Values from the calculation:
**ΔE_f (raw)**: -1.472 eV per atom
**Total moment**: 0.00 μB per cell
**Fermi-level density of states**: 0.0 states/eV/f.u.

=====

Computed, not measured: a relaxed PaSi2O6F crystal at the PBE-GGA level of DFT.

Cell lengths 7.7921, 7.7921, 4.9181 Å; angles 102.34, 102.34, 85.76 degrees
Last column: nearest neighbours and their distance in Å.
Fractional coordinates of all 20 atoms:
Pa: 0.1606 0.8394 0.7500  4 O 2.10-2.11
Pa: 0.8394 0.1606 0.2500  4 O 2.10-2.11
Si: 0.2409 0.4098 0.3122  4 O 1.63-1.64
Si: 0.4098 0.2409 0.8122  4 O 1.63-1.64
Si: 0.5902 0.7591 0.1878  4 O 1.63-1.64
Si: 0.7591 0.5902 0.6878  4 O 1.63-1.64
O: 0.0522 0.3132 0.2554  1 Si 1.64
O: 0.2225 0.6177 0.4535  1 Si 1.63
O: 0.3059 0.3891 0.0128  2 Si 1.63-1.64
O: 0.3132 0.0522 0.7554  1 Si 1.64
O: 0.3823 0.7775 0.0465  1 Si 1.63
O: 0.3891 0.3059 0.5128  2 Si 1.63-1.64
O: 0.6109 0.6941 0.4872  2 Si 1.63-1.64
O: 0.6177 0.2225 0.9535  1 Si 1.63
O: 0.6868 0.9478 0.2446  1 Si 1.64
O: 0.6941 0.6109 0.9872  2 Si 1.63-1.64
O: 0.7775 0.3823 0.5465  1 Si 1.63
O: 0.9478 0.6868 0.7446  1 Si 1.64
F: 0.0627 0.9373 0.2500  1 Pa 2.37
F: 0.9373 0.0627 0.7500  1 Pa 2.37

Values from the calculation:
**ΔE_f (raw)**: -3.081 eV per atom
**Total moment**: 0.00 μB per cell
**Fermi-level density of states**: 0.0 states/eV/f.u.

=====

| no. | uncorrected energy (eV/f.u.) |
| --- | --- |
| 1 | -52.76 |
| 2 | -50.56 |
| 3 | -68.13 |
| 4 | -89.88 |
| 5 | -75.67 |
| 6 | -82.77 |